SiAsIrO | PBE | relaxed

```
8
Lattice="-3.5133 1.2958 -0.3480 -0.6947 -0.9222 3.5791 2.9012 8.6136 2.7824" Properties=species:S:1:pos:R:3 pbc="T T T"
Si -0.7859 0.8833 1.0630
Ir -1.3580 5.0481 2.0250
Si -0.5208 8.1039 4.9506
As -2.1893 3.1500 3.3504
O -2.8086 0.7413 0.6338
As 0.8826 5.8372 2.6632
O -1.3993 -0.3677 2.5974
Ir 0.0513 3.9391 3.9885
```

- Space group: P4/nmm, No. 129
- Distance to the lowest polymorph of the same formula: 302.4 meV per atom
- Total magnetization: 0.0006 μB/atom